Record 1
## Pm3Si3Au (PBE)

Data for crystalline Pm3Si3Au at its relaxed geometry.

a = 5.875 Å, b = 8.660 Å, c = 8.660 Å
α = 120.00°, β = 90.00°, γ = 90.00°
Fractional coordinates of all 14 atoms:
Si 0.750 0.638 0.933
Pm 0.250 0.070 0.694
Au 0.250 0.667 0.333
Pm 0.750 0.377 0.070
Pm 0.750 0.930 0.306
Si 0.250 0.362 0.067
Si 0.250 0.704 0.638
Pm 0.250 0.306 0.377
Pm 0.250 0.623 0.930
Si 0.250 0.933 0.296
Si 0.750 0.067 0.704
Pm 0.750 0.694 0.623
Au 0.750 0.333 0.667
Si 0.750 0.296 0.362

## Properties
Space group: P6_3/m, No. 176
ΔE to the lowest computed polymorph, eV per atom: 0.344
Crystal system: hexagonal
Formation energy without anion corrections, eV per atom: -0.42
E_tot, eV/atom: -5.2457

---

Record 2
## Pm12Si6Au (PBE)

Data for crystalline Pm12Si6Au at its relaxed geometry.

a = 8.787 Å, b = 8.787 Å, c = 8.787 Å
α = 109.47°, β = 109.47°, γ = 109.47°
Fractional coordinates of all 19 atoms:
Pm 0.187 0.707 0.894
Si 0.500 0.116 0.616
Pm 0.187 0.293 0.481
Si 0.616 0.500 0.116
Pm 0.106 0.813 0.293
Pm 0.707 0.894 0.187
Si 0.116 0.616 0.500
Pm 0.894 0.187 0.707
Au 0.000 0.000 0.000
Pm 0.293 0.481 0.187
Pm 0.707 0.519 0.813
Pm 0.813 0.707 0.519
Si 0.884 0.384 0.500
Pm 0.481 0.187 0.293
Pm 0.813 0.293 0.106
Pm 0.293 0.106 0.813
Si 0.500 0.884 0.384
Pm 0.519 0.813 0.707
Si 0.384 0.500 0.884

## Properties
Space group: Im-3, No. 204
Crystal system: cubic
Formation energy without anion corrections, eV per atom: -0.52
E_tot, eV/atom: -5.4026

---

Record 3
## PmSiAu2 (PBE)

Data for crystalline PmSiAu2 at its relaxed geometry.

a = 4.292 Å, b = 4.409 Å, c = 4.409 Å
α = 90.00°, β = 90.00°, γ = 90.00°
Fractional coordinates of all 4 atoms:
Pm 0.500 0.000 0.000
Au 0.000 0.000 0.500
Si 0.500 0.500 0.500
Au 0.000 0.500 0.000

## Properties
Space group: P4/mmm, No. 123
ΔE to the lowest computed polymorph, eV per atom: 0.284
Crystal system: tetragonal
Formation energy without anion corrections, eV per atom: -0.38
E_tot, eV/atom: -4.5667

---

Record 4
## Pm4SiAu (PBE)

Data for crystalline Pm4SiAu at its relaxed geometry.

a = 7.297 Å, b = 7.128 Å, c = 7.262 Å
α = 90.00°, β = 91.54°, γ = 90.00°
Fractional coordinates of all 12 atoms:
Pm 0.348 0.843 0.158
Pm 0.327 0.336 0.342
Si 0.500 0.000 0.500
Au 0.000 0.000 0.000
Pm 0.152 0.343 0.842
Au 0.500 0.500 0.000
Pm 0.827 0.164 0.342
Pm 0.173 0.836 0.658
Pm 0.652 0.157 0.842
Pm 0.848 0.657 0.158
Si 0.000 0.500 0.500
Pm 0.673 0.664 0.658

## Properties
Space group: P2_1/c, No. 14
Crystal system: monoclinic
Formation energy without anion corrections, eV per atom: -0.37
E_tot, eV/atom: -4.9905